Crystalline ErSc2H at its relaxed geometry, computed with PBE.

Cell lengths 3.361, 3.361, 8.246 Å; angles 78.24, 78.24, 60.00 degrees
Element x y z (fractional)
Sc1 0.282 0.282 0.154
H1 0.000 0.000 0.000
Er1 0.500 0.500 0.500
Sc2 0.718 0.718 0.846

For the total energy, the calculation gives -5.338 eV/atom. Its total magnetic moment is 0.0 Bohr magnetons per cell. The density of states at the Fermi level is 0.810 states/eV/atom.